[1]
An optimized crystal structure of Ac2CuSe. Source: Alexandria via LeMat-Bulk, functional PBE.

- polymorph energy (0 for the lowest one) (meV/atom) = 313

Geometry as POSCAR:
```
Ac2CuSe
1.0
0.000 3.854 3.854
3.854 0.000 3.854
3.854 3.854 0.000
Ac Cu Se
2 1 1
Cartesian
1.927 1.927 1.927 Ac
5.781 5.781 5.781 Ac
0.000 0.000 0.000 Cu
3.854 3.854 3.854 Se
```

[2]
An optimized crystal structure of Ac2CuSe. Source: Alexandria via LeMat-Bulk, functional PBE.

- polymorph energy (0 for the lowest one) (meV/atom) = 188

Geometry as POSCAR:
```
Ac2CuSe
1.0
5.446 0.000 0.000
0.000 5.446 0.000
0.000 0.000 3.783
Ac Cu Se
2 1 1
Cartesian
0.000 2.723 0.000 Ac
2.723 0.000 0.000 Ac
0.000 0.000 1.892 Cu
2.723 2.723 1.892 Se
```

[3]
An optimized crystal structure of AcCu5Se4. Source: Alexandria via LeMat-Bulk, functional PBE.

Geometry as POSCAR:
```
AcCu5Se4
1.0
8.220 0.000 0.000
0.000 10.023 0.000
0.000 0.000 4.953
Ac Cu Se
2 10 8
Cartesian
2.055 2.506 0.104 Ac
6.165 7.517 4.849 Ac
0.214 5.358 1.243 Cu
0.214 9.677 1.243 Cu
2.055 7.517 1.200 Cu
3.896 5.358 1.243 Cu
3.896 9.677 1.243 Cu
4.324 0.346 3.709 Cu
4.324 4.665 3.709 Cu
6.165 2.506 3.752 Cu
8.006 0.346 3.709 Cu
8.006 4.665 3.709 Cu
0.099 2.506 2.538 Se
2.055 5.549 4.569 Se
2.055 9.485 4.569 Se
4.011 2.506 2.538 Se
4.209 7.517 2.414 Se
6.165 0.538 0.384 Se
6.165 4.474 0.384 Se
8.122 7.517 2.414 Se
```

no.,size of the total moment (μB per atom),formation energy (no corrections) (meV/atom)
1,0.12,-645
2,0.00,-771
3,0.00,-449